CdAsPSe2 | PBEsol | optimized geometry

ΔE_f (raw)	1.16	eV per atom
D(E_F)	5.19	states/eV/f.u.

```
data_CdAsPSe2
_chemical_formula_sum 'Cd1 As1 P1 Se2'
_symmetry_space_group_name_H-M 'P 4/m m m'
_symmetry_Int_Tables_number 123
_symmetry_space_group_name_Hall '-P 4 2'
_cell_length_a 5.023
_cell_length_b 5.023
_cell_length_c 5.037
_cell_angle_alpha 90.00
_cell_angle_beta 90.00
_cell_angle_gamma 90.00
loop_
_atom_site_label
_atom_site_type_symbol
_atom_site_fract_x
_atom_site_fract_y
_atom_site_fract_z
Cd1 Cd 0.000 0.000 0.000
As1 As 0.000 0.000 0.500
P1 P 0.500 0.500 0.500
Se1 Se 0.000 0.500 0.000
```